No. 1
# NaAcAsAu PBE-GGA relaxed
data_NaAcAsAu
_chemical_formula_sum 'Na4 Ac4 As4 Au4'
_symmetry_space_group_name_H-M 'F -4 3 m'
_symmetry_Int_Tables_number 216
_symmetry_space_group_name_Hall 'F -4 2 3'
_cell_length_a 7.494
_cell_length_b 7.494
_cell_length_c 7.494
_cell_angle_alpha 90.00
_cell_angle_beta 90.00
_cell_angle_gamma 90.00
loop_
_atom_site_label
_atom_site_fract_x
_atom_site_fract_y
_atom_site_fract_z
_atom_site_occupancy
Na1 0.000 0.000 0.000 1
Ac1 0.000 0.000 0.500 1
As1 0.250 0.250 0.750 1
Au1 0.250 0.250 0.250 1
# Energy of formation from the pure elements, meV per atom: -809
# Spin magnetization, μB per formula unit: 0.000

---

No. 2
# CePmLuSc PBE-GGA relaxed
data_CePmLuSc
_chemical_formula_sum 'Ce4 Pm4 Lu4 Sc4'
_symmetry_space_group_name_H-M 'F -4 3 m'
_symmetry_Int_Tables_number 216
_symmetry_space_group_name_Hall 'F -4 2 3'
_cell_length_a 7.844
_cell_length_b 7.844
_cell_length_c 7.844
_cell_angle_alpha 90.00
_cell_angle_beta 90.00
_cell_angle_gamma 90.00
loop_
_atom_site_label
_atom_site_fract_x
_atom_site_fract_y
_atom_site_fract_z
_atom_site_occupancy
Ce1 0.000 0.000 0.000 1
Pm1 0.250 0.250 0.250 1
Lu1 0.000 0.000 0.500 1
Sc1 0.250 0.250 0.750 1
# DOS(E_F), states/eV/cell: 43.48
# Energy of formation from the pure elements, meV per atom: 190
# Spin magnetization, μB per formula unit: 2.404

---

No. 3
# Tl2Si2Pt PBE-GGA relaxed
data_Tl2Si2Pt
_chemical_formula_sum 'Tl4 Si4 Pt2'
_symmetry_space_group_name_H-M 'P 4/m b m'
_symmetry_Int_Tables_number 127
_symmetry_space_group_name_Hall '-P 4 2ab'
_cell_length_a 6.324
_cell_length_b 6.324
_cell_length_c 5.338
_cell_angle_alpha 90.00
_cell_angle_beta 90.00
_cell_angle_gamma 90.00
loop_
_atom_site_label
_atom_site_fract_x
_atom_site_fract_y
_atom_site_fract_z
_atom_site_occupancy
Tl1 0.187 0.313 0.000 1
Si1 0.136 0.636 0.500 1
Pt1 0.000 0.000 0.500 1
# DOS(E_F), states/eV/cell: 3.44
# Formation energy (no corrections), meV per atom: -57
# Spin magnetization, μB per formula unit: 0.000

---

No. 4
# YIn2Te PBE-GGA relaxed
data_YIn2Te
_chemical_formula_sum 'Y2 In4 Te2'
_symmetry_space_group_name_H-M 'I 4/m m m'
_symmetry_Int_Tables_number 139
_symmetry_space_group_name_Hall '-I 4 2'
_cell_length_a 4.377
_cell_length_b 4.377
_cell_length_c 11.450
_cell_angle_alpha 90.00
_cell_angle_beta 90.00
_cell_angle_gamma 90.00
loop_
_atom_site_label
_atom_site_fract_x
_atom_site_fract_y
_atom_site_fract_z
_atom_site_occupancy
Y1 0.000 0.000 0.000 1
In1 0.000 0.500 0.250 1
Te1 0.000 0.000 0.500 1
# DOS(E_F), states/eV/cell: 5.45
# Formation energy (no corrections), meV per atom: -531
# Spin magnetization, μB per formula unit: 0.000

---

No. 5
# TiCrNiSb2 PBE-GGA relaxed
data_TiCrNiSb2
_chemical_formula_sum 'Ti1 Cr1 Ni1 Sb2'
_symmetry_space_group_name_H-M 'P 4/m m m'
_symmetry_Int_Tables_number 123
_symmetry_space_group_name_Hall '-P 4 2'
_cell_length_a 4.927
_cell_length_b 4.927
_cell_length_c 4.390
_cell_angle_alpha 90.00
_cell_angle_beta 90.00
_cell_angle_gamma 90.00
loop_
_atom_site_label
_atom_site_fract_x
_atom_site_fract_y
_atom_site_fract_z
_atom_site_occupancy
Ti1 0.000 0.000 0.000 1
Cr1 0.500 0.500 0.500 1
Ni1 0.500 0.500 0.000 1
Sb1 0.000 0.500 0.500 1
# DOS(E_F), states/eV/cell: 4.37
# Formation energy (no corrections), meV per atom: 716
# Spin magnetization, μB per formula unit: 2.178

---

No. 6
# TeH PBE-GGA relaxed
data_TeH
_chemical_formula_sum 'Te8 H8'
_symmetry_space_group_name_H-M 'I 4/m m m'
_symmetry_Int_Tables_number 139
_symmetry_space_group_name_Hall '-I 4 2'
_cell_length_a 8.800
_cell_length_b 8.800
_cell_length_c 3.856
_cell_angle_alpha 90.00
_cell_angle_beta 90.00
_cell_angle_gamma 90.00
loop_
_atom_site_label
_atom_site_fract_x
_atom_site_fract_y
_atom_site_fract_z
_atom_site_occupancy
Te1 0.000 0.253 0.000 1
H1 0.000 0.205 0.500 1
# Energy, eV/f.u.: -5.70
# DOS(E_F), states/eV/cell: 7.47
# Spin magnetization, μB per formula unit: 0.000

---

No. 7
# Rb2NpS2Br2 PBE-GGA relaxed
data_Rb2NpS2Br2
_chemical_formula_sum 'Rb4 Np2 S4 Br4'
_symmetry_space_group_name_H-M 'I 4/m m m'
_symmetry_Int_Tables_number 139
_symmetry_space_group_name_Hall '-I 4 2'
_cell_length_a 5.252
_cell_length_b 5.252
_cell_length_c 17.714
_cell_angle_alpha 90.00
_cell_angle_beta 90.00
_cell_angle_gamma 90.00
loop_
_atom_site_label
_atom_site_fract_x
_atom_site_fract_y
_atom_site_fract_z
_atom_site_occupancy
Rb1 0.000 0.000 0.135 1
Np1 0.000 0.000 0.500 1
S1 0.000 0.500 0.000 1
Br1 0.000 0.000 0.336 1
# DOS(E_F), states/eV/cell: 26.64
# Formation energy (no corrections), meV per atom: -1478
# Spin magnetization, μB per formula unit: 3.000

---

No. 8
# Nb2AlMoI PBE-GGA relaxed
data_Nb2AlMoI
_chemical_formula_sum 'Nb2 Al1 Mo1 I1'
_symmetry_space_group_name_H-M 'P 4/m m m'
_symmetry_Int_Tables_number 123
_symmetry_space_group_name_Hall '-P 4 2'
_cell_length_a 4.938
_cell_length_b 4.938
_cell_length_c 4.988
_cell_angle_alpha 90.00
_cell_angle_beta 90.00
_cell_angle_gamma 90.00
loop_
_atom_site_label
_atom_site_fract_x
_atom_site_fract_y
_atom_site_fract_z
_atom_site_occupancy
Nb1 0.000 0.500 0.000 1
Al1 0.000 0.000 0.500 1
Mo1 0.500 0.500 0.500 1
I1 0.000 0.000 0.000 1
# DOS(E_F), states/eV/cell: 6.01
# Formation energy (no corrections), meV per atom: 2184
# Spin magnetization, μB per formula unit: 0.000

---

No. 9
# NaSn2C2 PBE-GGA relaxed
data_NaSn2C2
_chemical_formula_sum 'Na2 Sn4 C4'
_symmetry_space_group_name_H-M 'I 4/m m m'
_symmetry_Int_Tables_number 139
_symmetry_space_group_name_Hall '-I 4 2'
_cell_length_a 4.265
_cell_length_b 4.265
_cell_length_c 9.595
_cell_angle_alpha 90.00
_cell_angle_beta 90.00
_cell_angle_gamma 90.00
loop_
_atom_site_label
_atom_site_fract_x
_atom_site_fract_y
_atom_site_fract_z
_atom_site_occupancy
Na1 0.000 0.000 0.000 1
Sn1 0.000 0.000 0.344 1
C1 0.000 0.500 0.250 1
# DOS(E_F), states/eV/cell: 2.03
# Energy of formation from the pure elements, meV per atom: 1043
# Spin magnetization, μB per formula unit: 0.000

---

No. 10
# Hf5Ge4H PBE-GGA relaxed
data_Hf5Ge4H
_chemical_formula_sum 'Hf10 Ge8 H2'
_symmetry_space_group_name_H-M 'I 4'
_symmetry_Int_Tables_number 79
_symmetry_space_group_name_Hall 'I 4'
_cell_length_a 8.414
_cell_length_b 8.414
_cell_length_c 5.402
_cell_angle_alpha 90.00
_cell_angle_beta 90.00
_cell_angle_gamma 90.00
loop_
_atom_site_label
_atom_site_fract_x
_atom_site_fract_y
_atom_site_fract_z
_atom_site_occupancy
Hf1 0.000 0.000 0.000 1
Hf2 0.101 0.298 0.379 1
Ge1 0.096 0.297 0.880 1
H1 0.000 0.000 0.375 1
# Energy, eV/f.u.: -75.54
# DOS(E_F), states/eV/cell: 9.02
# Spin magnetization, μB per formula unit: 0.000

---

No. 11
# UCd2Pd9 PBE-GGA relaxed
data_UCd2Pd9
_chemical_formula_sum 'U1 Cd2 Pd9'
_symmetry_space_group_name_H-M 'P 4/m m m'
_symmetry_Int_Tables_number 123
_symmetry_space_group_name_Hall '-P 4 2'
_cell_length_a 4.070
_cell_length_b 4.070
_cell_length_c 12.157
_cell_angle_alpha 90.00
_cell_angle_beta 90.00
_cell_angle_gamma 90.00
loop_
_atom_site_label
_atom_site_fract_x
_atom_site_fract_y
_atom_site_fract_z
_atom_site_occupancy
U1 0.000 0.000 0.000 1
Cd1 0.000 0.000 0.338 1
Pd1 0.000 0.500 0.163 1
Pd2 0.000 0.500 0.500 1
Pd3 0.500 0.500 0.000 1
Pd4 0.500 0.500 0.331 1
# DOS(E_F), states/eV/cell: 12.72
# Energy of formation from the pure elements, meV per atom: -384
# Spin magnetization, μB per formula unit: 0.681

---

No. 12
# Mg3Zr2 PBE-GGA relaxed
data_Mg3Zr2
_chemical_formula_sum 'Mg9 Zr6'
_symmetry_space_group_name_H-M 'R -3 m'
_symmetry_Int_Tables_number 166
_symmetry_space_group_name_Hall '-R 3 2"'
_cell_length_a 3.2233
_cell_length_b 3.2233
_cell_length_c 38.9500
_cell_angle_alpha 90.00
_cell_angle_beta 90.00
_cell_angle_gamma 120.00
loop_
_atom_site_label
_atom_site_fract_x
_atom_site_fract_y
_atom_site_fract_z
_atom_site_occupancy
Mg1 0.0000 0.0000 0.0000 1
Mg2 0.0000 0.0000 0.4002 1
Zr1 0.0000 0.0000 0.1984 1
# DOS(E_F), states/eV/cell: 10.65
# Energy of formation from the pure elements, meV per atom: 26
# Spin magnetization, μB per formula unit: 0.000